This record from Alexandria describes an optimized crystal structure of ScPaCd6. The functional is PBE-GGA.

abc: 5.9440 5.9440 23.5275
angles: 90.00 90.00 120.00
Space group R-3m (No. 166, hexagonal axes)
Inequivalent atoms, fractional coordinates:
Sc: 0.0000 0.0000 0.0000 (multiplicity 3)
Pa: 0.0000 0.0000 0.5000 (multiplicity 3)
Cd: 0.0049 0.5024 0.4354 (multiplicity 18)

Summary:
D(E_F) in states/eV per atom: 1.354
Formation enthalpy at 0 K in eV per atom: 0.400
DFT total energy in eV per formula unit: -18.117